## Li4FeO2F2 (PBEsol)

Data for Li4FeO2F2 after structural relaxation.

Properties
The calculation puts the calculated volume at 89.2 Å³/cell. The calculation puts the final energy at -0.40631 Ry per atom. The value obtained for the spin magnetization is 4.0 μB/cell.

Geometry as POSCAR:
```
Li4FeO2F2
1.0
4.837 -1.793 0.000
4.837 1.793 0.000
-3.918 0.000 5.140
Li Fe O F
4 1 2 2
direct
0.146 0.146 0.026
0.341 0.341 0.652
0.659 0.659 0.348
0.854 0.854 0.974
0.000 0.000 0.500
0.085 0.085 0.315
0.915 0.915 0.685
0.270 0.270 0.866
0.730 0.730 0.134
```

## Li4FeOF5 (PBEsol)

Data for Li4FeOF5 after structural relaxation.

Properties
The energy above the most stable polymorph in this dataset is 0 meV/atom. The calculation puts the calculated volume at 363.8 Å³/cell. The value obtained for the spin magnetization is 13.7 μB/cell.

Geometry as POSCAR:
```
Li4FeOF5
1.0
2.836 -4.900 0.000
2.836 4.900 0.000
-0.058 0.000 13.092
Li Fe O F
12 3 3 15
direct
0.000 0.000 0.000
0.333 0.999 0.550
0.339 0.997 0.843
0.341 0.663 0.690
0.342 0.666 0.395
0.653 0.653 0.846
0.663 0.341 0.690
0.666 0.342 0.395
0.982 0.982 0.677
0.991 0.991 0.389
0.997 0.339 0.843
0.999 0.333 0.550
0.331 0.998 0.194
0.664 0.664 0.191
0.998 0.331 0.194
0.331 0.664 0.204
0.664 0.331 0.204
0.997 0.997 0.213
0.000 0.000 0.863
0.037 0.037 0.525
0.293 0.665 0.530
0.303 0.998 0.053
0.322 0.997 0.693
0.327 0.664 0.845
0.339 0.999 0.354
0.661 0.661 0.353
0.664 0.327 0.845
0.665 0.293 0.530
0.669 0.669 0.699
0.693 0.693 0.050
0.997 0.322 0.693
0.998 0.303 0.053
0.999 0.339 0.354
```

## Li2FeOF3 (PBEsol)

Data for Li2FeOF3 after structural relaxation.

Properties
The energy above the most stable polymorph in this dataset is 92 meV/atom. The calculation puts the calculated volume at 267.4 Å³/cell. The value obtained for the spin magnetization is 4.0 μB/cell.

Geometry as POSCAR:
```
Li2FeOF3
1.0
5.752 0.000 0.000
0.000 5.752 0.000
0.000 0.000 8.084
Li Fe O F
8 4 4 12
direct
0.006 0.249 0.000
0.238 0.749 0.123
0.249 0.994 0.750
0.251 0.238 0.373
0.749 0.762 0.873
0.751 0.006 0.250
0.762 0.251 0.623
0.994 0.751 0.500
0.269 0.505 0.761
0.495 0.269 0.011
0.505 0.731 0.511
0.731 0.495 0.261
0.279 0.486 0.980
0.486 0.721 0.730
0.514 0.279 0.230
0.721 0.514 0.480
0.030 0.256 0.755
0.030 0.735 0.754
0.248 0.508 0.508
0.256 0.970 0.505
0.265 0.030 0.004
0.492 0.248 0.758
0.508 0.752 0.258
0.735 0.970 0.504
0.744 0.030 0.005
0.752 0.492 0.008
0.970 0.265 0.254
0.970 0.744 0.255
```

## Li2FePO4F (PBEsol)

Data for Li2FePO4F after structural relaxation.

Properties
The calculation puts the calculated volume at 183.4 Å³/cell. The calculation puts the final energy at -0.49501 Ry per atom. The value obtained for the spin magnetization is 8.0 μB/cell.

Geometry as POSCAR:
```
Li2FePO4F
1.0
5.331 0.000 0.000
-0.410 5.320 0.000
-2.410 -2.599 6.465
Li Fe P O F
4 2 2 8 2
direct
0.000 0.000 0.000
0.043 0.305 0.392
0.290 0.554 0.208
0.602 0.600 0.602
0.511 0.080 0.040
0.518 0.087 0.559
0.161 0.439 0.800
0.865 0.733 0.300
0.167 0.792 0.443
0.201 0.254 0.926
0.229 0.733 0.959
0.348 0.399 0.674
0.662 0.765 0.413
0.809 0.431 0.158
0.831 0.934 0.186
0.868 0.368 0.638
0.354 0.242 0.299
0.655 0.946 0.800
```

## Li3VFeP2O8F2 (PBEsol)

Data for Li3VFeP2O8F2 after structural relaxation.

Properties
The calculation puts the calculated volume at 175.6 Å³/cell. The calculation puts the final energy at -0.52024 Ry per atom. The value obtained for the spin magnetization is 6.4 μB/cell.

Geometry as POSCAR:
```
Li3VFeP2O8F2
1.0
5.169 0.000 0.000
-0.687 5.238 0.000
-2.177 -2.395 6.486
Li V Fe P O F
3 1 1 2 8 2
direct
0.000 0.000 0.000
0.252 0.418 0.349
0.510 0.828 0.697
0.754 0.413 0.847
0.752 0.412 0.347
0.085 0.048 0.605
0.421 0.778 0.089
0.019 0.192 0.448
0.081 0.744 0.504
0.120 0.657 0.928
0.387 0.169 0.766
0.426 0.081 0.190
0.487 0.634 0.247
0.629 0.754 0.969
0.878 0.072 0.726
0.598 0.495 0.587
0.908 0.332 0.108
```

## LiVFeP2O8F2 (PBEsol)

Data for LiVFeP2O8F2 after structural relaxation.

Properties
The calculation puts the calculated volume at 171.2 Å³/cell. The calculation puts the final energy at -0.54467 Ry per atom. The value obtained for the spin magnetization is 5.8 μB/cell.

Geometry as POSCAR:
```
LiVFeP2O8F2
1.0
5.073 0.000 0.000
-0.630 5.239 0.000
-1.966 -2.715 6.441
Li V Fe P O F
1 1 1 2 8 2
direct
0.000 0.000 0.000
0.069 0.434 0.822
0.577 0.937 0.333
0.507 0.560 0.586
0.630 0.317 0.068
0.307 0.230 0.952
0.338 0.564 0.740
0.428 0.267 0.421
0.431 0.778 0.500
0.720 0.614 0.226
0.722 0.101 0.155
0.792 0.292 0.908
0.822 0.649 0.727
0.203 0.754 0.083
0.935 0.127 0.569
```

## LiFeW2F (PBEsol)

Data for LiFeW2F after structural relaxation.

Properties
The calculation puts the calculated volume at 69.0 Å³/cell. The calculation puts the final energy at -0.52306 Ry per atom. The value obtained for the spin magnetization is 2.4 μB/cell.

Geometry as POSCAR:
```
LiFeW2F
1.0
4.066 0.000 0.000
0.000 4.066 0.000
0.000 0.000 4.172
Li Fe W F
1 1 2 1
direct
0.000 0.000 0.000
0.500 0.500 0.000
0.000 0.500 0.500
0.500 0.000 0.500
0.500 0.500 0.500
```

## MnFe2F (PBEsol)

Data for MnFe2F after structural relaxation.

Properties
The calculation puts the calculated volume at 43.8 Å³/cell. The calculation puts the final energy at -0.52037 Ry per atom. The value obtained for the spin magnetization is 1.3 μB/cell.

Geometry as POSCAR:
```
MnFe2F
1.0
0.000 2.797 2.797
2.797 0.000 2.797
2.797 2.797 0.000
Mn Fe F
1 2 1
direct
0.000 0.000 0.000
0.250 0.250 0.250
0.750 0.750 0.750
0.500 0.500 0.500
```

## FeMoO2F (PBEsol)

Data for FeMoO2F after structural relaxation.

Properties
The calculation puts the calculated volume at 54.6 Å³/cell. The calculation puts the final energy at -0.52255 Ry per atom. The value obtained for the spin magnetization is 6.9 μB/cell.

Geometry as POSCAR:
```
FeMoO2F
1.0
3.797 0.000 0.000
0.000 3.797 0.000
0.000 0.000 3.786
Fe Mo O F
1 1 2 1
direct
0.000 0.000 0.000
0.500 0.500 0.500
0.000 0.500 0.000
0.500 0.000 0.000
0.000 0.000 0.500
```

## FeNiNF2 (PBEsol)

Data for FeNiNF2 after structural relaxation.

Properties
The energy above the most stable polymorph in this dataset is 0 meV/atom. The calculation puts the calculated volume at 52.2 Å³/cell. The value obtained for the spin magnetization is 2.3 μB/cell.

Geometry as POSCAR:
```
FeNiNF2
1.0
3.865 0.000 0.000
0.000 3.865 0.000
0.000 0.000 3.492
Fe Ni N F
1 1 1 2
direct
0.000 0.000 0.000
0.500 0.500 0.500
0.000 0.000 0.500
0.000 0.500 0.000
0.500 0.000 0.000
```

## FeNiNF2 (PBEsol)

Data for FeNiNF2 after structural relaxation.

Properties
The energy above the most stable polymorph in this dataset is 108 meV/atom. The calculation puts the calculated volume at 52.4 Å³/cell. The value obtained for the spin magnetization is 3.9 μB/cell.

Geometry as POSCAR:
```
FeNiNF2
1.0
3.758 0.000 0.000
0.000 3.758 0.000
0.000 0.000 3.712
Fe Ni N F
1 1 1 2
direct
0.000 0.000 0.000
0.500 0.500 0.500
0.500 0.500 0.000
0.000 0.500 0.500
0.500 0.000 0.500
```

## FeOsNF2 (PBEsol)

Data for FeOsNF2 after structural relaxation.

Properties
The energy above the most stable polymorph in this dataset is 0 meV/atom. The calculation puts the calculated volume at 65.8 Å³/cell. The value obtained for the spin magnetization is 3.4 μB/cell.

Geometry as POSCAR:
```
FeOsNF2
1.0
4.205 0.000 0.000
0.000 4.205 0.000
0.000 0.000 3.719
Fe Os N F
1 1 1 2
direct
0.000 0.000 0.000
0.500 0.500 0.500
0.500 0.500 0.000
0.000 0.500 0.500
0.500 0.000 0.500
```

What did the tenth record say?
## FeNiNF2 (PBEsol)

Data for FeNiNF2 after structural relaxation.

Properties
The energy above the most stable polymorph in this dataset is 0 meV/atom. The calculation puts the calculated volume at 52.2 Å³/cell. The value obtained for the spin magnetization is 2.3 μB/cell.

Geometry as POSCAR:
```
FeNiNF2
1.0
3.865 0.000 0.000
0.000 3.865 0.000
0.000 0.000 3.492
Fe Ni N F
1 1 1 2
direct
0.000 0.000 0.000
0.500 0.500 0.500
0.000 0.000 0.500
0.000 0.500 0.000
0.500 0.000 0.000
```

Question: What is the formula in the eighth record?
Answer: MnFe2F

Question: Which formula does entry 3 have?
Answer: Li2FeOF3

Question: Which of these has the highest spin magnetization?
Answer: Li4FeOF5